(1)
First-principles (GGA-PBE) data for a relaxed structure of TiNiB3, as listed in Alexandria.

Results
* volume: 65 Å³/f.u.
* electronic total energy: -24.9 eV for the cell shown
* energy of formation: 1.7568 eV per atom

Lattice parameters (Å, degrees): 4.0276 4.0276 4.0276 90.00 90.00 90.00
Element x y z (fractional)
Ti1 0.0000 0.0000 0.0000
Ni1 0.5000 0.5000 0.5000
B1 0.0000 0.0000 0.5000
B2 0.0000 0.5000 0.0000
B3 0.5000 0.0000 0.0000



(2)
First-principles (GGA-PBE) data for a relaxed structure of PuAlCdO6, as listed in Alexandria.

Results
* volume: 116 Å³/f.u.
* electronic total energy: -68.0 eV for the cell shown
* formation energy from raw total energies: -2138 meV/atom

Lattice parameters (Å, degrees): 5.2127 5.2127 4.9115 90.00 90.00 120.00
Element x y z (fractional)
Pu1 0.0000 0.0000 0.0000
Al1 0.3333 0.6667 0.0000
Cd1 0.6667 0.3333 0.5000
O1 0.0341 0.3457 0.2156
O2 0.0341 0.6884 0.7844
O3 0.3116 0.3457 0.7844
O4 0.3116 0.9659 0.2156
O5 0.6543 0.6884 0.2156
O6 0.6543 0.9659 0.7844



(3)
First-principles (GGA-PBE) data for a relaxed structure of AlBMo2, as listed in Alexandria.

Results
* volume: 59 Å³/f.u.
* electronic total energy: -117.4 eV for the cell shown
* energy above the most stable polymorph in this dataset: 507.3 meV per atom
* energy of formation: 0.6815 eV per atom

Lattice parameters (Å, degrees): 3.6387 3.6387 17.7227 90.00 90.00 90.00
Element x y z (fractional)
Al1 0.0000 0.0000 0.0000
Al2 0.0000 0.5000 0.2500
Al3 0.5000 0.0000 0.7500
Al4 0.5000 0.5000 0.5000
B1 0.0000 0.0000 0.5000
B2 0.0000 0.5000 0.7500
B3 0.5000 0.0000 0.2500
B4 0.5000 0.5000 0.0000
Mo1 0.2337 0.2500 0.6250
Mo2 0.2500 0.7337 0.8750
Mo3 0.2500 0.7663 0.3750
Mo4 0.2663 0.2500 0.1250
Mo5 0.7337 0.7500 0.1250
Mo6 0.7500 0.2337 0.3750
Mo7 0.7500 0.2663 0.8750
Mo8 0.7663 0.7500 0.6250



(4)
First-principles (GGA-PBE) data for a relaxed structure of Dy3Cd2Ga, as listed in Alexandria.

Results
* volume: 150 Å³/f.u.
* electronic total energy: -21.1 eV for the cell shown
* energy above the most stable polymorph in this dataset: 7.7 meV per atom
* energy of formation: -0.3979 eV per atom

Lattice parameters (Å, degrees): 5.2060 5.2060 6.4039 90.00 90.00 120.00
Element x y z (fractional)
Dy1 0.0000 0.0000 0.0000
Dy2 0.3333 0.6667 0.6522
Dy3 0.6667 0.3333 0.3478
Cd1 0.3333 0.6667 0.1482
Cd2 0.6667 0.3333 0.8518
Ga1 0.0000 0.0000 0.5000



(5)
First-principles (GGA-PBE) data for a relaxed structure of CdIrRh2, as listed in Alexandria.

Results
* volume: 74 Å³/f.u.
* electronic total energy: -66.4 eV for the cell shown
* energy of formation: 0.5868 eV per atom

Lattice parameters (Å, degrees): 3.7535 3.7535 18.2891 90.00 90.00 120.00
Element x y z (fractional)
Cd1 0.0000 0.0000 0.0000
Cd2 0.3333 0.6667 0.6667
Cd3 0.6667 0.3333 0.3333
Ir1 0.0000 0.0000 0.1682
Ir2 0.3333 0.6667 0.8348
Ir3 0.6667 0.3333 0.5015
Rh1 0.0000 0.0000 0.4278
Rh2 0.0000 0.0000 0.5731
Rh3 0.3333 0.6667 0.0945
Rh4 0.3333 0.6667 0.2397
Rh5 0.6667 0.3333 0.7611
Rh6 0.6667 0.3333 0.9064



(6)
First-principles (GGA-PBE) data for a relaxed structure of Cs2K8HgAu, as listed in Alexandria.

Results
* volume: 850 Å³/f.u.
* electronic total energy: -14.7 eV for the cell shown
* energy of formation: -0.0506 eV per atom

Lattice parameters (Å, degrees): 5.8085 12.0126 12.1879 90.00 90.15 90.00
Element x y z (fractional)
Cs1 0.0000 0.2372 0.0000
Cs2 0.0000 0.7628 0.0000
K1 0.0007 0.0000 0.6598
K2 0.0012 0.5000 0.6755
K3 0.4993 0.2400 0.3373
K4 0.4993 0.7600 0.3373
K5 0.5007 0.2400 0.6627
K6 0.5007 0.7600 0.6627
K7 0.9993 0.0000 0.3402
K8 0.9988 0.5000 0.3245
Hg1 0.5000 0.5000 0.5000
Au1 0.5000 0.0000 0.5000



(7)
First-principles (GGA-PBE) data for a relaxed structure of SmEr2Zn4, as listed in Alexandria.

Results
* volume: 166 Å³/f.u.
* electronic total energy: -39.9 eV for the cell shown
* energy of formation: -0.1428 eV per atom

Lattice parameters (Å, degrees): 5.1449 5.1449 12.5372 90.00 90.00 90.00
Element x y z (fractional)
Sm1 0.0000 0.0000 0.0000
Sm2 0.5000 0.5000 0.5000
Er1 0.0000 0.0000 0.2740
Er2 0.0000 0.0000 0.7260
Er3 0.5000 0.5000 0.2260
Er4 0.5000 0.5000 0.7740
Zn1 0.0000 0.5000 0.1144
Zn2 0.0000 0.5000 0.3856
Zn3 0.0000 0.5000 0.6144
Zn4 0.0000 0.5000 0.8856
Zn5 0.5000 0.0000 0.1144
Zn6 0.5000 0.0000 0.3856
Zn7 0.5000 0.0000 0.6144
Zn8 0.5000 0.0000 0.8856